5
Lattice="5.042 0.000 0.000 0.000 5.323 0.000 0.000 0.000 5.042" Properties=species:S:1:pos:R:3 comment="HfCrCdAs2, optimized geometry, DFT PBE" crystal_system=tetragonal delta_e_f_ev_per_fu=6.85 energy_ev_per_cell=-22.94 vol_a3_per_cell=135.30 sg="P4/mmm, No. 123" mass_density_g_cm3=6.047 pbc="T T T"
As 0.000 0.000 2.521
As 2.521 0.000 0.000
Cr 2.521 2.662 2.521
Hf 0.000 2.662 0.000
Cd 0.000 0.000 0.000